1.
Material: TbPr5Dy3
Method: DFT, PBE
State: optimized geometry

**Total magnetic moment**: 0.0 μB per cell
**ΔE_f**: 0.3020 eV/atom
**Space-group type**: I4/mcm

Lattice parameters (Å, degrees): 9.782 9.782 9.782 122.71 122.71 85.36
Atoms (fractional coordinates):
Tb1 0.250 0.750 0.500
Tb2 0.750 0.250 0.500
Pr1 0.000 0.000 0.000
Pr2 0.069 0.569 0.904
Pr3 0.165 0.069 0.500
Pr4 0.335 0.835 0.904
Pr5 0.431 0.335 0.500
Pr6 0.500 0.500 0.000
Pr7 0.569 0.665 0.500
Pr8 0.665 0.165 0.096
Pr9 0.835 0.931 0.500
Pr10 0.931 0.431 0.096
Dy1 0.109 0.391 0.500
Dy2 0.250 0.250 0.000
Dy3 0.391 0.891 0.281
Dy4 0.609 0.109 0.719
Dy5 0.750 0.750 0.000
Dy6 0.891 0.609 0.500

---

2.
Material: Y5GeP4
Method: DFT, PBE
State: optimized geometry

**Total magnetic moment**: 0.0 μB per cell
**ΔE_f**: -1.4171 eV/atom
**Space-group type**: I4/m

Lattice parameters (Å, degrees): 6.996 6.996 6.996 99.58 99.58 131.84
Atoms (fractional coordinates):
Y1 0.000 0.000 0.000
Y2 0.193 0.396 0.589
Y3 0.396 0.807 0.204
Y4 0.604 0.193 0.796
Y5 0.807 0.604 0.411
Ge1 0.500 0.500 0.000
P1 0.101 0.700 0.801
P2 0.300 0.101 0.401
P3 0.700 0.899 0.599
P4 0.899 0.300 0.199

---

3.
Material: BeTl2Si
Method: DFT, PBE
State: optimized geometry

**Formation energy (no corrections)**: 0.3850 eV per atom
**Total magnetic moment**: 0.0 μB per cell
**Space-group type**: Pm

Lattice parameters (Å, degrees): 4.926 4.024 5.021 90.00 114.25 90.00
Atoms (fractional coordinates):
Be1 0.000 0.000 0.000
Tl1 0.393 0.000 0.605
Tl2 0.738 0.500 0.257
Si1 0.100 0.500 0.890